The following is a DFT calculation (PBE) of a relaxed HoNi2Ge2 crystal.

Properties
energy	-5.76	eV per atom
D(E_F)	0.81	states/eV per atom
total magnetic moment	0.0	Bohr magnetons per cell

Lattice parameters (Å, degrees): 5.6711 5.6711 5.6711 138.01 138.01 60.89
Fractional positions:
Ho1 0.0000 0.0000 0.0000
Ni1 0.2500 0.7500 0.5000
Ni2 0.7500 0.2500 0.5000
Ge1 0.3716 0.3716 0.0000
Ge2 0.6284 0.6284 0.0000